(1)
# GGA-PBE Na3TeH, optimized geometry
data_Na3TeH
_space_group_name_H-M_alt 'P 4 m m'
_space_group_IT_number 99
_cell_length_a 5.6412
_cell_length_b 5.6412
_cell_length_c 5.9977
_cell_angle_alpha 90.00
_cell_angle_beta 90.00
_cell_angle_gamma 90.00
loop_
_space_group_symop_operation_xyz
'x,y,z'
'-y,x,z'
'-x,-y,z'
'y,-x,z'
'-x,y,z'
'y,x,z'
'x,-y,z'
'-y,-x,z'
loop_
_atom_site_label
_atom_site_type_symbol
_atom_site_fract_x
_atom_site_fract_y
_atom_site_fract_z
Na1 Na 0.0000 0.0000 0.0000
Na2 Na 0.0000 0.5000 0.6215
Te1 Te 0.0000 0.0000 0.4876
H1 H 0.5000 0.5000 0.7638
# ρ, Mg/m³: 1.72
# Total magnetization, μB/atom: 0.0000
# Distance to the lowest polymorph of the same formula, eV per formula unit: 1.58
# Total DFT energy (no corrections), eV/atom: -2.42

=====

(2)
# GGA-PBE LiCd2Se, optimized geometry
data_LiCd2Se
_space_group_name_H-M_alt 'C 1 2/m 1'
_space_group_IT_number 12
_cell_length_a 5.6251
_cell_length_b 12.2687
_cell_length_c 3.0197
_cell_angle_alpha 90.00
_cell_angle_beta 121.57
_cell_angle_gamma 90.00
loop_
_space_group_symop_operation_xyz
'x,y,z'
'-x,-y,-z'
'-x,y,-z'
'x,-y,z'
'x+1/2,y+1/2,z'
'-x+1/2,-y+1/2,-z'
'-x+1/2,y+1/2,-z'
'x+1/2,-y+1/2,z'
loop_
_atom_site_label
_atom_site_type_symbol
_atom_site_fract_x
_atom_site_fract_y
_atom_site_fract_z
Li1 Li 0.0000 0.0000 0.0000
Cd1 Cd 0.2500 0.2500 0.0000
Se1 Se 0.0000 0.5000 0.0000
# ρ, Mg/m³: 5.81
# Energy relative to the elements, uncorrected, meV per atom: -326
# Total magnetization, μB/atom: 0.0000
# Total DFT energy (no corrections), eV/atom: -2.13

=====

(3)
# GGA-PBE CuOsPt3, optimized geometry
data_CuOsPt3
_space_group_name_H-M_alt 'P m -3 m'
_space_group_IT_number 221
_space_group_name_Hall '-P 4 2 3'
_cell_length_a 4.8223
_cell_length_b 4.8223
_cell_length_c 4.8223
_cell_angle_alpha 90.00
_cell_angle_beta 90.00
_cell_angle_gamma 90.00
loop_
_atom_site_label
_atom_site_type_symbol
_atom_site_fract_x
_atom_site_fract_y
_atom_site_fract_z
Cu1 Cu 0.0000 0.0000 0.0000
Os1 Os 0.5000 0.5000 0.5000
Pt1 Pt 0.0000 0.5000 0.5000
# DFT formation energy, eV per formula unit: 7.38
# ρ, Mg/m³: 12.42
# Total magnetization, μB/atom: 0.0000
# Distance to the lowest polymorph of the same formula, eV per formula unit: 0.00
# Total DFT energy (no corrections), eV/atom: -5.21

=====

(4)
# GGA-PBE TmNb6S8, optimized geometry
data_TmNb6S8
_space_group_name_H-M_alt 'R -3'
_space_group_IT_number 148
_space_group_name_Hall '-R 3'
_cell_length_a 9.2307
_cell_length_b 9.2307
_cell_length_c 11.7957
_cell_angle_alpha 90.00
_cell_angle_beta 90.00
_cell_angle_gamma 120.00
loop_
_atom_site_label
_atom_site_type_symbol
_atom_site_fract_x
_atom_site_fract_y
_atom_site_fract_z
Tm1 Tm 0.0000 0.0000 0.0000
Nb1 Nb 0.0217 0.1870 0.3882
S1 S 0.0000 0.0000 0.2278
S2 S 0.0007 0.3744 0.2415
# ρ, Mg/m³: 5.63
# Energy relative to the elements, uncorrected, meV per atom: -1028
# Total magnetization, μB/atom: 0.0000
# Total DFT energy (no corrections), eV/atom: -7.56

=====

(5)
# GGA-PBE ScHgRh2, optimized geometry
data_ScHgRh2
_space_group_name_H-M_alt 'F -4 3 m'
_space_group_IT_number 216
_space_group_name_Hall 'F -4 2 3'
_cell_length_a 6.5115
_cell_length_b 6.5115
_cell_length_c 6.5115
_cell_angle_alpha 90.00
_cell_angle_beta 90.00
_cell_angle_gamma 90.00
loop_
_atom_site_label
_atom_site_type_symbol
_atom_site_fract_x
_atom_site_fract_y
_atom_site_fract_z
Sc1 Sc 0.0000 0.0000 0.0000
Hg1 Hg 0.2500 0.2500 0.2500
Rh1 Rh 0.0000 0.0000 0.5000
Rh2 Rh 0.2500 0.2500 0.7500
# DFT formation energy, eV per formula unit: -0.97
# ρ, Mg/m³: 10.86
# Total magnetization, μB/atom: 0.0009
# Total DFT energy (no corrections), eV/atom: -5.58

=====

(6)
# GGA-PBE Ce6Se8Cl, optimized geometry
data_Ce6Se8Cl
_space_group_name_H-M_alt 'R -3'
_space_group_IT_number 148
_space_group_name_Hall '-R 3'
_cell_length_a 8.8291
_cell_length_b 8.8291
_cell_length_c 18.3182
_cell_angle_alpha 90.00
_cell_angle_beta 90.00
_cell_angle_gamma 120.00
loop_
_atom_site_label
_atom_site_type_symbol
_atom_site_fract_x
_atom_site_fract_y
_atom_site_fract_z
Ce1 Ce 0.0034 0.3482 0.4284
Se1 Se 0.0000 0.0000 0.1678
Se2 Se 0.0038 0.3230 0.6003
Cl1 Cl 0.0000 0.0000 0.5000
# ρ, Mg/m³: 6.07
# Energy relative to the elements, uncorrected, meV per atom: -1768
# Total magnetization, μB/atom: 0.4697
# Total DFT energy (no corrections), eV/atom: -6.12

=====

Number 1: density of states at the Fermi level 0.00 states/eV/atom. Number 2: density of states at the Fermi level 0.25 states/eV/atom. Number 3: density of states at the Fermi level 1.00 states/eV/atom. Number 4: density of states at the Fermi level 0.61 states/eV/atom. Number 5: density of states at the Fermi level 1.85 states/eV/atom. Number 6: density of states at the Fermi level 2.28 states/eV/atom.